Entry 1:
VASP calculation (GGA-PBE) on a relaxed structure of CePm2Th4.

Cell and atoms, written as CIF:
```
data_CePm2Th4
_chemical_formula_sum 'Ce2 Pm4 Th8'
_space_group_name_H-M_alt 'C m m m'
_space_group_IT_number 65
_space_group_name_Hall '-C 2 2'
_cell_length_a 3.5425
_cell_length_b 36.1612
_cell_length_c 3.5418
_cell_angle_alpha 90.00
_cell_angle_beta 90.00
_cell_angle_gamma 90.00
loop_
_atom_site_label
_atom_site_type_symbol
_atom_site_fract_x
_atom_site_fract_y
_atom_site_fract_z
Ce1 Ce 0.0000 0.0000 0.0000
Pm1 Pm 0.0000 0.2937 0.5000
Th1 Th 0.0000 0.1356 0.0000
Th2 Th 0.0000 0.4329 0.5000
```

Its formation energy is 0.0665 eV/atom.

=====

Entry 2:
VASP calculation (GGA-PBE) on a relaxed structure of LaCr3Ge.

Cell and atoms, written as CIF:
```
data_LaCr3Ge
_chemical_formula_sum 'La1 Cr3 Ge1'
_space_group_name_H-M_alt 'P m -3 m'
_space_group_IT_number 221
_space_group_name_Hall '-P 4 2 3'
_cell_length_a 4.7194
_cell_length_b 4.7194
_cell_length_c 4.7194
_cell_angle_alpha 90.00
_cell_angle_beta 90.00
_cell_angle_gamma 90.00
loop_
_atom_site_label
_atom_site_type_symbol
_atom_site_fract_x
_atom_site_fract_y
_atom_site_fract_z
La1 La 0.0000 0.0000 0.0000
Cr1 Cr 0.0000 0.5000 0.5000
Ge1 Ge 0.5000 0.5000 0.5000
```

Its formation energy is 0.6763 eV/atom. The calculation puts the energy above the most stable polymorph in this dataset at 0.0 meV/atom.

=====

Entry 3:
VASP calculation (GGA-PBE) on a relaxed structure of TcNi4.

Cell and atoms, written as CIF:
```
data_TcNi4
_chemical_formula_sum 'Tc2 Ni8'
_space_group_name_H-M_alt 'I m m m'
_space_group_IT_number 71
_space_group_name_Hall '-I 2 2'
_cell_length_a 2.5453
_cell_length_b 3.6269
_cell_length_c 12.5513
_cell_angle_alpha 90.00
_cell_angle_beta 90.00
_cell_angle_gamma 90.00
loop_
_atom_site_label
_atom_site_type_symbol
_atom_site_fract_x
_atom_site_fract_y
_atom_site_fract_z
Tc1 Tc 0.0000 0.0000 0.0000
Ni1 Ni 0.0000 0.0000 0.2003
Ni2 Ni 0.0000 0.0000 0.3979
```

Its formation energy is 0.0069 eV/atom. The calculation puts the energy above the most stable polymorph in this dataset at 29.8 meV/atom.

=====

Entry 4:
VASP calculation (GGA-PBE) on a relaxed structure of K2TeRu.

Cell and atoms, written as CIF:
```
data_K2TeRu
_chemical_formula_sum 'K4 Te2 Ru2'
_space_group_name_H-M_alt 'C 1 m 1'
_space_group_IT_number 8
_cell_length_a 7.7410
_cell_length_b 4.4698
_cell_length_c 9.7530
_cell_angle_alpha 90.00
_cell_angle_beta 105.26
_cell_angle_gamma 90.00
loop_
_space_group_symop_operation_xyz
'x,y,z'
'x,-y,z'
'x+1/2,y+1/2,z'
'x+1/2,-y+1/2,z'
loop_
_atom_site_label
_atom_site_type_symbol
_atom_site_fract_x
_atom_site_fract_y
_atom_site_fract_z
K1 K 0.0000 0.0000 0.0000
K2 K 0.1718 0.0000 0.5181
Te1 Te 0.2524 0.5000 0.2590
Ru1 Ru 0.4191 0.0000 0.2590
```

Its raw formation energy is 0.013 eV per atom.

=====

Entry 5:
VASP calculation (GGA-PBE) on a relaxed structure of La2SmHoAs4.

Cell and atoms, written as CIF:
```
data_La2SmHoAs4
_chemical_formula_sum 'La2 Sm1 Ho1 As4'
_space_group_name_H-M_alt 'P 1 2/m 1'
_space_group_IT_number 10
_cell_length_a 7.3869
_cell_length_b 4.2705
_cell_length_c 7.3908
_cell_angle_alpha 90.00
_cell_angle_beta 109.47
_cell_angle_gamma 90.00
loop_
_space_group_symop_operation_xyz
'x,y,z'
'-x,-y,-z'
'-x,y,-z'
'x,-y,z'
loop_
_atom_site_label
_atom_site_type_symbol
_atom_site_fract_x
_atom_site_fract_y
_atom_site_fract_z
La1 La 0.0000 0.0000 0.0000
La2 La 0.0000 0.5000 0.5000
Sm1 Sm 0.5000 0.0000 0.5000
Ho1 Ho 0.5000 0.5000 0.0000
As1 As 0.2600 0.5000 0.2502
As2 As 0.2621 0.0000 0.7571
```

Its formation energy is -1.5416 eV/atom.

=====

Entry 6:
VASP calculation (GGA-PBE) on a relaxed structure of YEr4Sc2.

Cell and atoms, written as CIF:
```
data_YEr4Sc2
_chemical_formula_sum 'Y2 Er8 Sc4'
_space_group_name_H-M_alt 'P 1'
_space_group_IT_number 1
_cell_length_a 5.8030
_cell_length_b 8.2350
_cell_length_c 9.2578
_cell_angle_alpha 88.76
_cell_angle_beta 77.11
_cell_angle_gamma 71.93
loop_
_space_group_symop_operation_xyz
'x,y,z'
loop_
_atom_site_label
_atom_site_type_symbol
_atom_site_fract_x
_atom_site_fract_y
_atom_site_fract_z
Y1 Y 0.0000 0.0000 0.0000
Y2 Y 0.4036 0.1290 0.2968
Er1 Er 0.0446 0.8930 0.3495
Er2 Er 0.4563 0.2269 0.9227
Er3 Er 0.5694 0.7742 0.0587
Er4 Er 0.6086 0.7053 0.4306
Er5 Er 0.7225 0.3810 0.1909
Er6 Er 0.7254 0.2684 0.5495
Er7 Er 0.8225 0.8484 0.7038
Er8 Er 0.9269 0.4297 0.8231
Sc1 Sc 0.1325 0.5767 0.1298
Sc2 Sc 0.1798 0.4992 0.4783
Sc3 Sc 0.2629 0.0507 0.6491
Sc4 Sc 0.3621 0.6382 0.7813
```

Its formation energy is 0.0872 eV/atom. The calculation puts the energy above the most stable polymorph in this dataset at 0.0 meV/atom.

=====

Entry 7:
VASP calculation (GGA-PBE) on a relaxed structure of ErSc2Cd.

Cell and atoms, written as CIF:
```
data_ErSc2Cd
_chemical_formula_sum 'Er2 Sc4 Cd2'
_space_group_name_H-M_alt 'I m m m'
_space_group_IT_number 71
_space_group_name_Hall '-I 2 2'
_cell_length_a 3.5896
_cell_length_b 5.1454
_cell_length_c 10.8660
_cell_angle_alpha 90.00
_cell_angle_beta 90.00
_cell_angle_gamma 90.00
loop_
_atom_site_label
_atom_site_type_symbol
_atom_site_fract_x
_atom_site_fract_y
_atom_site_fract_z
Er1 Er 0.0000 0.0000 0.0000
Sc1 Sc 0.0000 0.5000 0.2263
Cd1 Cd 0.0000 0.0000 0.5000
```

Its formation energy is -0.1313 eV/atom. The calculation puts the energy above the most stable polymorph in this dataset at 0.0 meV/atom.

=====

Entry 8:
VASP calculation (GGA-PBE) on a relaxed structure of Co2Pb.

Cell and atoms, written as CIF:
```
data_Co2Pb
_chemical_formula_sum 'Co2 Pb1'
_space_group_name_H-M_alt 'P 6/m m m'
_space_group_IT_number 191
_space_group_name_Hall '-P 6 2'
_cell_length_a 3.9636
_cell_length_b 3.9636
_cell_length_c 3.7127
_cell_angle_alpha 90.00
_cell_angle_beta 90.00
_cell_angle_gamma 120.00
loop_
_atom_site_label
_atom_site_type_symbol
_atom_site_fract_x
_atom_site_fract_y
_atom_site_fract_z
Co1 Co 0.3333 0.6667 0.0000
Pb1 Pb 0.0000 0.0000 0.5000
```

Its formation energy is 0.5410 eV/atom.

=====

Record order is preserved below.
D(E_F): 1.806 1.257 1.546 0.908 0.093 1.772 1.180 1.211 states/eV per atom